[1]
Compound: NaHgBi2
Source: the Alexandria database
Functional: PBE
Structure: optimized geometry

The structure belongs to space group Pmmn (No. 59, origin choice 2); the cell edges are 4.572, 10.821 and 4.819 Å and the angles 90.00°, 90.00° and 90.00°. The inequivalent atoms are Na at (0.250, 0.250, 0.249), Hg at (0.250, 0.750, 0.274) and Bi at (0.250, 0.006, 0.776).

The value obtained for the calculated volume is 238.4 Å³ per cell. As for the formation energy: -0.5 eV/f.u. As for the magnetic moment: 0.00 μB per atom. The energy is -2.481 eV/atom. For the density, the calculation gives 8937 kg/m3.



[2]
Compound: Li2AgI2Br
Source: the Alexandria database
Functional: PBE
Structure: optimized geometry

The structure belongs to space group Cmc2_1 (No. 36); the cell edges are 13.558, 7.750 and 7.316 Å and the angles 90.00°, 90.00° and 90.00°. The inequivalent atoms are Li at (0.156, 0.178, 0.000), Ag at (0.000, 0.327, 0.482), I at (0.171, 0.162, 0.620) and Br at (0.000, 0.331, 0.103).

The value obtained for the calculated volume is 768.8 Å³ per cell. As for the magnetic moment: 0.00 μB per atom. The calculation puts the uncorrected formation energy at -0.96 eV/atom. The energy is -2.874 eV/atom. For the density, the calculation gives 3935 kg/m3.



[3]
Compound: Rb2AcUSe6
Source: the Alexandria database
Functional: PBE
Structure: optimized geometry

The structure belongs to space group P2_1/c (No. 14); the cell edges are 8.051, 8.049 and 13.948 Å and the angles 90.00°, 125.17° and 90.00°. The inequivalent atoms are Rb at (0.248, 0.009, 0.250), Ac at (0.500, 0.000, 0.000), U at (0.000, 0.000, 0.500), Se at (0.203, 0.247, 0.988), Se at (0.241, 0.716, 0.989) and Se at (0.257, 0.003, 0.734).

The value obtained for the calculated volume is 738.8 Å³ per cell. As for the magnetic moment: 0.00 μB per atom. The calculation puts the uncorrected formation energy at -1.23 eV/atom. The energy is -5.055 eV/atom. For the density, the calculation gives 4988 kg/m3.



[4]
Compound: Ac2Tb6Y3Ho
Source: the Alexandria database
Functional: PBE
Structure: optimized geometry

The structure belongs to space group C2/m (No. 12); the cell edges are 6.314, 10.933 and 11.989 Å and the angles 90.00°, 100.10° and 90.00°. The inequivalent atoms are Ac at (0.000, 0.167, 0.000), Tb at (0.245, 0.500, 0.743), Tb at (0.250, 0.165, 0.744), Y at (0.000, 0.000, 0.500), Y at (0.000, 0.334, 0.500) and Ho at (0.000, 0.500, 0.000).

The value obtained for the calculated volume is 814.7 Å³ per cell. As for the formation energy: 0.5 eV/f.u. As for the magnetic moment: 0.00 μB per atom. The energy is -4.953 eV/atom. For the density, the calculation gives 7497 kg/m3.



[5]
Compound: Ce10Bi3Pb3
Source: the Alexandria database
Functional: PBE
Structure: optimized geometry

The structure belongs to space group P-62m (No. 189); the cell edges are 9.5182, 9.5182 and 6.4821 Å and the angles 90.00°, 90.00° and 120.00°. The inequivalent atoms are Ce at (0.0000, 0.2516, 0.0000), Ce at (0.0000, 0.7480, 0.5000), Ce at (0.3333, 0.6667, 0.2484), Bi at (0.0000, 0.3856, 0.5000) and Pb at (0.0000, 0.6148, 0.0000).

The value obtained for the calculated volume is 508.6 Å³ per cell. As for the formation energy: -7.2 eV/f.u. As for the magnetic moment: 0.78 μB per atom. The energy is -5.583 eV/atom. For the density, the calculation gives 8651 kg/m3.



[6]
Compound: CaTl2Sn
Source: the Alexandria database
Functional: PBE
Structure: optimized geometry

The structure belongs to space group I-42d (No. 122); the cell edges are 8.724, 8.724 and 6.510 Å and the angles 90.00°, 90.00° and 90.00°. The inequivalent atoms are Ca at (0.000, 0.000, 0.000), Tl at (0.225, 0.250, 0.625) and Sn at (0.000, 0.000, 0.500).

The value obtained for the calculated volume is 495.5 Å³ per cell. As for the formation energy: -0.6 eV/f.u. As for the magnetic moment: 0.00 μB per atom. The energy is -2.837 eV/atom. For the density, the calculation gives 7608 kg/m3. The value obtained for the energy above the lowest structure with this stoichiometry is 0.55 eV/f.u.



[7]
Compound: Pr12Y5Sc2
Source: the Alexandria database
Functional: PBE
Structure: optimized geometry

The structure belongs to space group C2/m (No. 12); the cell edges are 22.691, 7.096 and 8.821 Å and the angles 90.00°, 112.13° and 90.00°. The inequivalent atoms are Pr at (0.049, 0.000, 0.200), Pr at (0.103, 0.245, 0.877), Pr at (0.131, 0.500, 0.527), Pr at (0.203, 0.249, 0.293), Y at (0.000, 0.500, 0.000), Y at (0.147, 0.000, 0.596), Y at (0.249, 0.500, 0.989) and Sc at (0.000, 0.233, 0.500).

The value obtained for the calculated volume is 1315.6 Å³ per cell. As for the formation energy: 2.8 eV/f.u. As for the magnetic moment: 0.00 μB per atom. The energy is -5.241 eV/atom. For the density, the calculation gives 5618 kg/m3.



[8]
Compound: Tb2Pr6DyEr
Source: the Alexandria database
Functional: PBE
Structure: optimized geometry

The structure belongs to space group C2/c (No. 15); the cell edges are 9.308, 15.451 and 9.719 Å and the angles 90.00°, 97.68° and 90.00°. The inequivalent atoms are Tb at (0.248, 0.048, 0.046), Pr at (0.060, 0.177, 0.446), Pr at (0.099, 0.392, 0.617), Pr at (0.213, 0.221, 0.810), Dy at (0.000, 0.027, 0.750) and Er at (0.000, 0.412, 0.250).

The value obtained for the calculated volume is 1385.2 Å³ per cell. As for the formation energy: 1.2 eV/f.u. As for the magnetic moment: 0.00 μB per atom. The energy is -4.595 eV/atom. For the density, the calculation gives 7159 kg/m3.



[9]
Compound: BeWCl2
Source: the Alexandria database
Functional: PBE
Structure: optimized geometry

The structure belongs to space group Pmmm (No. 47); the cell edges are 2.838, 4.174 and 5.381 Å and the angles 90.00°, 90.00° and 90.00°. The inequivalent atoms are Be at (0.000, 0.000, 0.000), W at (0.500, 0.000, 0.500), Cl at (0.000, 0.500, 0.500) and Cl at (0.500, 0.500, 0.000).

The value obtained for the calculated volume is 63.7 Å³ per cell. As for the magnetic moment: 0.10 μB per atom. The calculation puts the uncorrected formation energy at 0.81 eV/atom. The energy is -4.282 eV/atom. For the density, the calculation gives 6871 kg/m3. The value obtained for the energy above the lowest structure with this stoichiometry is 3.96 eV/f.u.



[10]
Compound: CoReSb2I
Source: the Alexandria database
Functional: PBE
Structure: optimized geometry

The structure belongs to space group P4/mmm (No. 123); the cell edges are 5.065, 5.065 and 5.870 Å and the angles 90.00°, 90.00° and 90.00°. The inequivalent atoms are Co at (0.000, 0.000, 0.000), Re at (0.500, 0.500, 0.500), Sb at (0.000, 0.500, 0.500) and I at (0.500, 0.500, 0.000).

The value obtained for the calculated volume is 150.6 Å³ per cell. As for the magnetic moment: 0.43 μB per atom. The calculation puts the uncorrected formation energy at 1.22 eV/atom. The energy is -4.645 eV/atom. For the density, the calculation gives 6789 kg/m3. The value obtained for the energy above the lowest structure with this stoichiometry is 0.00 eV/f.u.



[11]
Compound: U4Te5Se
Source: the Alexandria database
Functional: PBE
Structure: optimized geometry

The structure belongs to space group C2/m (No. 12); the cell edges are 18.377, 4.143 and 8.677 Å and the angles 90.00°, 101.65° and 90.00°. The inequivalent atoms are U at (0.003, 0.000, 0.239), U at (0.164, 0.500, 0.083), Te at (0.000, 0.500, 0.500), Te at (0.167, 0.000, 0.818), Te at (0.170, 0.000, 0.341) and Se at (0.000, 0.500, 0.000).

The value obtained for the calculated volume is 646.9 Å³ per cell. As for the magnetic moment: 1.07 μB per atom. The calculation puts the uncorrected formation energy at -0.65 eV/atom. The energy is -7.087 eV/atom. For the density, the calculation gives 8568 kg/m3.



[12]
Compound: EuTaO2
Source: the Alexandria database
Functional: PBE
Structure: optimized geometry

The structure belongs to space group P4/mmm (No. 123); the cell edges are 2.838, 2.838 and 6.211 Å and the angles 90.00°, 90.00° and 90.00°. The inequivalent atoms are Eu at (0.000, 0.000, 0.000), Ta at (0.000, 0.000, 0.500) and O at (0.500, 0.500, 0.303).

The value obtained for the calculated volume is 50.0 Å³ per cell. As for the magnetic moment: 1.81 μB per atom. The calculation puts the uncorrected formation energy at -1.45 eV/atom. The energy is -9.456 eV/atom. For the density, the calculation gives 12110 kg/m3.